The following is a DFT calculation (GGA-PBE) of a geometry-optimized RbSbBr5 structure.

Lattice parameters (Å, degrees): 8.2994 8.2994 11.1809 109.66 109.66 54.11
Sites, in units of the cell vectors:
Rb1 0.0020 0.9980 0.7500
Rb2 0.9980 0.0020 0.2500
Sb1 0.5000 0.5000 0.0000
Sb2 0.5000 0.5000 0.5000
Br1 0.1067 0.6295 0.4360
Br2 0.1124 0.6109 0.9288
Br3 0.3705 0.8933 0.0640
Br4 0.3891 0.8876 0.5712
Br5 0.4941 0.5059 0.2500
Br6 0.5059 0.4941 0.7500
Br7 0.6109 0.1124 0.4288
Br8 0.6295 0.1067 0.9360
Br9 0.8876 0.3891 0.0712
Br10 0.8933 0.3705 0.5640

Properties
Space group ... No. 15
ΔE_f (raw) ... -5.68 eV/f.u.
Theoretical density ... 3.5 Mg/m³

The following is a DFT calculation (GGA-PBE) of a geometry-optimized CeTa2Ge2 structure.

Lattice parameters (Å, degrees): 6.7101 6.7101 6.7101 144.61 144.61 50.91
Sites, in units of the cell vectors:
Ce1 0.0000 0.0000 0.0000
Ta1 0.2500 0.7500 0.5000
Ta2 0.7500 0.2500 0.5000
Ge1 0.3955 0.3955 0.0000
Ge2 0.6045 0.6045 0.0000

Properties
Space group ... No. 139
Formation enthalpy at 0 K ... -0.48 eV per atom
Theoretical density ... 10.7 Mg/m³

The following is a DFT calculation (GGA-PBE) of a geometry-optimized Se3IBr structure.

Lattice parameters (Å, degrees): 5.2687 5.2687 5.2687 90.00 90.00 90.00
Sites, in units of the cell vectors:
Se1 0.0000 0.0000 0.5000
Se2 0.0000 0.5000 0.0000
Se3 0.5000 0.0000 0.0000
I1 0.5000 0.5000 0.5000
Br1 0.0000 0.0000 0.0000

Properties
Excess energy over the best structure of this formula in the dataset ... 904.2 meV per atom
Space group ... No. 221
ΔE_f (raw) ... 4.67 eV/f.u.
Theoretical density ... 5.0 Mg/m³

The following is a DFT calculation (GGA-PBE) of a geometry-optimized MgReSi2 structure.

Lattice parameters (Å, degrees): 3.1109 3.1109 6.4692 90.00 90.00 90.00
Sites, in units of the cell vectors:
Mg1 0.0000 0.0000 0.0000
Re1 0.0000 0.0000 0.5000
Si1 0.5000 0.5000 0.2956
Si2 0.5000 0.5000 0.7044

Properties
Space group ... No. 123
ΔE_f (raw) ... -0.27 eV/f.u.
Theoretical density ... 7.1 Mg/m³

The following is a DFT calculation (GGA-PBE) of a geometry-optimized Ba3As14 structure.

Lattice parameters (Å, degrees): 6.9279 13.9440 12.4706 90.00 123.59 90.00
Sites, in units of the cell vectors:
Ba1 0.0000 0.0000 0.0000
Ba2 0.0000 0.5000 0.5000
Ba3 0.1968 0.1581 0.3835
Ba4 0.1968 0.3419 0.8835
Ba5 0.8032 0.6581 0.1165
Ba6 0.8032 0.8419 0.6165
As1 0.0372 0.1456 0.6432
As2 0.0372 0.3544 0.1432
As3 0.2531 0.2203 0.1340
As4 0.2531 0.2797 0.6340
As5 0.2870 0.9997 0.6855
As6 0.2870 0.5003 0.1855
As7 0.3154 0.0804 0.8727
As8 0.3154 0.4196 0.3727
As9 0.3479 0.7195 0.7236
As10 0.3479 0.7805 0.2236
As11 0.3522 0.6861 0.5308
As12 0.3522 0.8139 0.0308
As13 0.3907 0.5600 0.8215
As14 0.3907 0.9400 0.3215
As15 0.6093 0.0600 0.6785
As16 0.6093 0.4400 0.1785
As17 0.6478 0.1861 0.9692
As18 0.6478 0.3139 0.4692
As19 0.6521 0.2195 0.7764
As20 0.6521 0.2805 0.2764
As21 0.6846 0.5804 0.6273
As22 0.6846 0.9196 0.1273
As23 0.7130 0.0003 0.3145
As24 0.7130 0.4997 0.8145
As25 0.7469 0.7203 0.3660
As26 0.7469 0.7797 0.8660
As27 0.9628 0.6456 0.8568
As28 0.9628 0.8544 0.3568

Properties
Space group ... No. 14
Formation enthalpy at 0 K ... -0.46 eV per atom
Theoretical density ... 4.8 Mg/m³

The following is a DFT calculation (GGA-PBE) of a geometry-optimized OsPt2Br structure.

Lattice parameters (Å, degrees): 2.8089 2.8089 10.3407 90.00 90.00 120.44
Sites, in units of the cell vectors:
Os1 0.0000 0.0000 0.0000
Pt1 0.5000 0.5000 0.2204
Pt2 0.5000 0.5000 0.7796
Br1 0.0000 0.0000 0.5000

Properties
Excess energy over the best structure of this formula in the dataset ... 181.1 meV per atom
Space group ... No. 65
ΔE_f (raw) ... 2.49 eV/f.u.
Theoretical density ... 15.6 Mg/m³

The following is a DFT calculation (GGA-PBE) of a geometry-optimized Mg2BeSi2Ir5 structure.

Lattice parameters (Å, degrees): 9.7195 9.7195 3.0348 90.00 90.00 90.00
Sites, in units of the cell vectors:
Mg1 0.1704 0.3296 0.0000
Mg2 0.3296 0.8296 0.0000
Mg3 0.6704 0.1704 0.0000
Mg4 0.8296 0.6704 0.0000
Be1 0.0000 0.0000 0.0000
Be2 0.5000 0.5000 0.0000
Si1 0.1358 0.6358 0.0000
Si2 0.3642 0.1358 0.0000
Si3 0.6358 0.8642 0.0000
Si4 0.8642 0.3642 0.0000
Ir1 0.0000 0.5000 0.5000
Ir2 0.0693 0.8080 0.5000
Ir3 0.1920 0.0693 0.5000
Ir4 0.3080 0.5693 0.5000
Ir5 0.4307 0.3080 0.5000
Ir6 0.5000 0.0000 0.5000
Ir7 0.5693 0.6920 0.5000
Ir8 0.6920 0.4307 0.5000
Ir9 0.8080 0.9307 0.5000
Ir10 0.9307 0.1920 0.5000

Properties
Space group ... No. 127
ΔE_f (raw) ... -5.39 eV/f.u.
Theoretical density ... 12.5 Mg/m³

The following is a DFT calculation (GGA-PBE) of a geometry-optimized VAgPb structure.

Lattice parameters (Å, degrees): 5.4659 5.4659 6.7228 113.73 113.73 45.12
Sites, in units of the cell vectors:
V1 0.2127 0.2127 0.4363
V2 0.7873 0.7873 0.5637
Ag1 0.2437 0.2437 0.8534
Ag2 0.7563 0.7563 0.1466
Pb1 0.0000 0.0000 0.0000
Pb2 0.5000 0.5000 0.5000

Properties
Space group ... No. 12
Formation enthalpy at 0 K ... 0.43 eV per atom
Theoretical density ... 9.5 Mg/m³

The following is a DFT calculation (GGA-PBE) of a geometry-optimized GdErGe2 structure.

Lattice parameters (Å, degrees): 3.3566 3.3566 8.0295 90.00 90.00 90.00
Sites, in units of the cell vectors:
Gd1 0.0000 0.0000 0.0000
Er1 0.0000 0.0000 0.5000
Ge1 0.5000 0.5000 0.2553
Ge2 0.5000 0.5000 0.7447

Properties
Excess energy over the best structure of this formula in the dataset ... 39.6 meV per atom
Space group ... No. 123
Formation enthalpy at 0 K ... -0.65 eV per atom
Theoretical density ... 8.6 Mg/m³

The following is a DFT calculation (GGA-PBE) of a geometry-optimized Cu2TcNi structure.

Lattice parameters (Å, degrees): 4.5313 4.5313 4.5460 98.85 98.85 32.54
Sites, in units of the cell vectors:
Cu1 0.2472 0.2472 0.2427
Cu2 0.7528 0.7528 0.7573
Tc1 0.0000 0.0000 0.5000
Ni1 0.5000 0.5000 0.0000

Properties
Excess energy over the best structure of this formula in the dataset ... 112.1 meV per atom
Space group ... No. 12
Formation enthalpy at 0 K ... 0.16 eV per atom
Theoretical density ... 9.5 Mg/m³

The following is a DFT calculation (GGA-PBE) of a geometry-optimized NaSc2Cl7 structure.

Lattice parameters (Å, degrees): 7.6561 7.6561 4.9577 90.00 90.00 115.68
Sites, in units of the cell vectors:
Na1 0.0000 0.0000 0.0000
Sc1 0.3024 0.6976 0.5000
Sc2 0.6976 0.3024 0.5000
Cl1 0.0474 0.3263 0.5000
Cl2 0.2984 0.7016 0.0000
Cl3 0.3263 0.0474 0.5000
Cl4 0.5000 0.5000 0.5000
Cl5 0.6737 0.9526 0.5000
Cl6 0.7016 0.2984 0.0000
Cl7 0.9526 0.6737 0.5000

Properties
Space group ... No. 65
ΔE_f (raw) ... -19.08 eV/f.u.
Theoretical density ... 2.3 Mg/m³

The following is a DFT calculation (GGA-PBE) of a geometry-optimized HoUNi structure.

Lattice parameters (Å, degrees): 8.6229 8.6229 4.6798 90.00 90.00 159.53
Sites, in units of the cell vectors:
Ho1 0.1533 0.8467 0.7500
Ho2 0.8467 0.1533 0.2500
U1 0.4652 0.5348 0.7500
U2 0.5348 0.4652 0.2500
Ni1 0.3155 0.6845 0.7500
Ni2 0.6845 0.3155 0.2500

Properties
Space group ... No. 63
Formation enthalpy at 0 K ... 0.09 eV per atom
Theoretical density ... 12.6 Mg/m³

> Number 12 is which compound?

HoUNi